[1]
# TaMn4Al3 (GGA-PBE, optimized geometry)
# E_form: -1.8 eV per formula unit
# Uncorrected energy: -7.694 eV/atom
data_TaMn4Al3
_symmetry_space_group_name_H-M 'P 4/m m m'
_symmetry_Int_Tables_number 123
_symmetry_space_group_name_Hall '-P 4 2'
_cell_length_a 3.030
_cell_length_b 3.030
_cell_length_c 11.543
_cell_angle_alpha 90.00
_cell_angle_beta 90.00
_cell_angle_gamma 90.00
loop_
_atom_site_label
_atom_site_type_symbol
_atom_site_fract_x
_atom_site_fract_y
_atom_site_fract_z
Ta1 Ta 0.000 0.000 0.000
Mn1 Mn 0.500 0.500 0.131
Mn2 Mn 0.500 0.500 0.376
Al1 Al 0.000 0.000 0.251
Al2 Al 0.000 0.000 0.500


[2]
# AcAlHg2 (GGA-PBE, optimized geometry)
# E_form: -0.7 eV per formula unit
# Uncorrected energy: -2.296 eV/atom
data_AcAlHg2
_symmetry_space_group_name_H-M 'P 4/m m m'
_symmetry_Int_Tables_number 123
_symmetry_space_group_name_Hall '-P 4 2'
_cell_length_a 3.730
_cell_length_b 3.730
_cell_length_c 7.552
_cell_angle_alpha 90.00
_cell_angle_beta 90.00
_cell_angle_gamma 90.00
loop_
_atom_site_label
_atom_site_type_symbol
_atom_site_fract_x
_atom_site_fract_y
_atom_site_fract_z
Ac1 Ac 0.000 0.000 0.000
Al1 Al 0.000 0.000 0.500
Hg1 Hg 0.500 0.500 0.294


[3]
# K2PHOs (GGA-PBE, optimized geometry)
# Uncorrected energy: -3.306 eV/atom
data_K2PHOs
_symmetry_space_group_name_H-M 'P 4/m m m'
_symmetry_Int_Tables_number 123
_symmetry_space_group_name_Hall '-P 4 2'
_cell_length_a 6.442
_cell_length_b 6.442
_cell_length_c 3.120
_cell_angle_alpha 90.00
_cell_angle_beta 90.00
_cell_angle_gamma 90.00
loop_
_atom_site_label
_atom_site_type_symbol
_atom_site_fract_x
_atom_site_fract_y
_atom_site_fract_z
K1 K 0.000 0.500 0.000
P1 P 0.000 0.000 0.000
H1 H 0.000 0.000 0.500
Os1 Os 0.500 0.500 0.500


[4]
# BaSrSi2 (GGA-PBE, optimized geometry)
# Energy above the lowest structure with this stoichiometry: 0.00 eV per formula unit
# Uncorrected energy: -4.051 eV/atom
data_BaSrSi2
_symmetry_space_group_name_H-M 'A m m 2'
_symmetry_Int_Tables_number 38
_symmetry_space_group_name_Hall 'A 2 -2'
_cell_length_a 4.099
_cell_length_b 4.925
_cell_length_c 11.882
_cell_angle_alpha 90.00
_cell_angle_beta 90.00
_cell_angle_gamma 90.00
loop_
_atom_site_label
_atom_site_type_symbol
_atom_site_fract_x
_atom_site_fract_y
_atom_site_fract_z
Ba1 Ba 0.000 0.000 0.000
Sr1 Sr 0.500 0.000 0.723
Si1 Si 0.000 0.000 0.293
Si2 Si 0.500 0.000 0.414


[5]
# Cs7Rb4Cl (GGA-PBE, optimized geometry)
# Uncorrected energy: -1.277 eV/atom
data_Cs7Rb4Cl
_symmetry_space_group_name_H-M 'P -1'
_symmetry_Int_Tables_number 2
_symmetry_space_group_name_Hall '-P 1'
_cell_length_a 7.340
_cell_length_b 9.317
_cell_length_c 18.667
_cell_angle_alpha 77.72
_cell_angle_beta 89.96
_cell_angle_gamma 66.94
loop_
_atom_site_label
_atom_site_type_symbol
_atom_site_fract_x
_atom_site_fract_y
_atom_site_fract_z
Cs1 Cs 0.000 0.000 0.000
Cs2 Cs 0.088 0.825 0.648
Cs3 Cs 0.295 0.409 0.912
Cs4 Cs 0.363 0.275 0.552
Rb1 Rb 0.188 0.624 0.272
Rb2 Rb 0.452 0.096 0.169
Cl1 Cl 0.500 0.000 0.000


[6]
# AcTm3Sb2 (GGA-PBE, optimized geometry)
# Uncorrected energy: -4.926 eV/atom
data_AcTm3Sb2
_symmetry_space_group_name_H-M 'C 1 2/m 1'
_symmetry_Int_Tables_number 12
_symmetry_space_group_name_Hall '-C 2y'
_cell_length_a 18.637
_cell_length_b 4.358
_cell_length_c 9.928
_cell_angle_alpha 90.00
_cell_angle_beta 113.06
_cell_angle_gamma 90.00
loop_
_atom_site_label
_atom_site_type_symbol
_atom_site_fract_x
_atom_site_fract_y
_atom_site_fract_z
Ac1 Ac 0.114 0.000 0.130
Tm1 Tm 0.057 0.000 0.670
Tm2 Tm 0.135 0.500 0.475
Tm3 Tm 0.190 0.500 0.878
Sb1 Sb 0.018 0.500 0.842
Sb2 Sb 0.239 0.000 0.693


[7]
# In2Ge2Br7 (GGA-PBE, optimized geometry)
# Uncorrected energy: -2.944 eV/atom
data_In2Ge2Br7
_symmetry_space_group_name_H-M 'C 1 2/m 1'
_symmetry_Int_Tables_number 12
_symmetry_space_group_name_Hall '-C 2y'
_cell_length_a 11.390
_cell_length_b 11.746
_cell_length_c 6.864
_cell_angle_alpha 90.00
_cell_angle_beta 98.85
_cell_angle_gamma 90.00
loop_
_atom_site_label
_atom_site_type_symbol
_atom_site_fract_x
_atom_site_fract_y
_atom_site_fract_z
In1 In 0.000 0.213 0.000
Ge1 Ge 0.229 0.500 0.444
Br1 Br 0.000 0.500 0.500
Br2 Br 0.099 0.000 0.261
Br3 Br 0.229 0.166 0.763


[8]
# K2ScP (GGA-PBE, optimized geometry)
# E_form: 0.4 eV per formula unit
# Uncorrected energy: -3.376 eV/atom
data_K2ScP
_symmetry_space_group_name_H-M 'P 4/m m m'
_symmetry_Int_Tables_number 123
_symmetry_space_group_name_Hall '-P 4 2'
_cell_length_a 4.289
_cell_length_b 4.289
_cell_length_c 5.783
_cell_angle_alpha 90.00
_cell_angle_beta 90.00
_cell_angle_gamma 90.00
loop_
_atom_site_label
_atom_site_type_symbol
_atom_site_fract_x
_atom_site_fract_y
_atom_site_fract_z
K1 K 0.000 0.500 0.000
Sc1 Sc 0.000 0.000 0.500
P1 P 0.500 0.500 0.500